No. 1
3
Lattice="0.0000 2.8830 2.8830 2.8830 0.0000 2.8830 2.8830 2.8830 0.0000" Properties=species:S:1:pos:R:3 comment="PBE ZrNiP, optimized geometry" formation_enthalpy_0k_kj_per_mol_fu=-212 spacegroup=F-43m pbc="T T T"
Zr 2.8830 2.8830 2.8830
Ni 1.4415 1.4415 1.4415
P 0.0000 0.0000 0.0000

***

No. 2
6
Lattice="0.0000 3.3826 3.3826 3.3826 0.0000 3.3826 3.3826 3.3826 0.0000" Properties=species:S:1:pos:R:3 comment="PBE ZrNi4P, optimized geometry" formation_enthalpy_0k_kj_per_mol_fu=-144 spacegroup=F-43m pbc="T T T"
Zr 0.0000 0.0000 0.0000
Ni 2.5356 4.2296 4.2296
Ni 2.5356 2.5356 2.5356
Ni 4.2296 4.2296 2.5356
Ni 4.2296 2.5356 4.2296
P 5.0739 5.0739 5.0739